First-principles (PBE-GGA) data for a relaxed structure of HfB3Au, as listed in Alexandria via LeMat-Bulk. Values from VASP.

Structure (Quantum ESPRESSO input):
```
&SYSTEM
  ibrav = 0, nat = 5, ntyp = 3
/
ATOMIC_SPECIES
Hf 178.49 Hf.upf
B 10.81 B.upf
Au 196.97 Au.upf
CELL_PARAMETERS angstrom
4.4051 0.0000 0.0000
0.0000 4.4051 0.0000
0.0000 0.0000 4.4051
ATOMIC_POSITIONS crystal
Hf 0.0000 0.0000 0.0000
B 0.0000 0.0000 0.5000
B 0.0000 0.5000 0.0000
B 0.5000 0.0000 0.0000
Au 0.5000 0.5000 0.5000
```

The value obtained for the spin magnetization is 0.00 Bohr magnetons per cell. The formation energy comes out at 1.856 eV/atom. The polymorph energy (0 for the lowest one) comes out at 361 meV per atom. The value obtained for the density is 7.924 Mg/m³.